Record 1
An optimized crystal structure of Rb2WS4. Source: Alexandria, functional PBE. Values from VASP.

Properties
The calculation puts the magnetic moment at 0.00 μB/f.u. Its space group is Fmm2. The final energy comes out at -5.426 eV/atom. The value obtained for the excess energy over the best structure of this formula in the dataset is 0.44 eV/f.u.

Geometry as Quantum ESPRESSO input:
```
&SYSTEM
  ibrav = 0, nat = 7, ntyp = 3
/
ATOMIC_SPECIES
S 32.06 S.upf
Rb 85.47 Rb.upf
W 183.84 W.upf
ATOMIC_POSITIONS angstrom
S 6.714 3.083 0.000
Rb 1.021 2.606 3.099
S 0.595 -0.586 1.863
W 6.415 0.905 0.000
S 4.242 0.572 0.000
S 4.205 3.080 4.336
Rb 4.102 -0.429 3.099
CELL_PARAMETERS angstrom
6.692 0.632 0.000
0.528 6.701 0.000
-3.610 -3.667 6.199
```

Record 2
An optimized crystal structure of Rb2WS4. Source: Alexandria, functional PBE. Values from VASP.

Properties
The calculation puts the magnetic moment at 0.00 μB/f.u. Its space group is Pnma. The final energy comes out at -5.489 eV/atom. The value obtained for the excess energy over the best structure of this formula in the dataset is 0.00 eV/f.u.

Geometry as Quantum ESPRESSO input:
```
&SYSTEM
  ibrav = 0, nat = 28, ntyp = 3
/
ATOMIC_SPECIES
S 32.06 S.upf
Rb 85.47 Rb.upf
W 183.84 W.upf
ATOMIC_POSITIONS angstrom
S -5.144 -4.086 -1.483
S -3.982 -3.113 1.798
S -5.093 -6.526 1.155
Rb -5.416 -2.957 -4.923
Rb -2.128 -1.283 -1.113
S -7.855 -9.562 -5.415
Rb -3.611 -6.953 -3.115
S -0.379 -6.419 -5.637
W -1.568 -4.593 -5.967
S -8.334 -7.499 3.229
S -11.459 -6.255 2.020
Rb -6.422 -9.718 1.306
Rb -5.119 -11.303 -3.693
Rb -9.710 -11.392 -2.504
Rb -8.227 -5.722 -0.502
W -7.773 -7.917 -3.934
W -4.065 -4.758 0.317
S -6.694 -8.589 -2.134
S -9.819 -7.345 -3.343
Rb -6.719 -1.371 0.075
S -9.933 -9.114 0.418
S -5.183 -0.362 -2.857
S -3.504 -5.175 -6.846
S -6.655 -12.313 -0.761
S -6.745 -6.149 -4.773
W -10.270 -8.082 2.349
S -2.019 -5.330 -0.275
S -1.904 -3.561 -4.036
CELL_PARAMETERS angstrom
-6.262 2.493 -2.422
0.583 -6.137 -7.822
-6.158 -9.031 6.627
```

Record 3
An optimized crystal structure of Rb3WS4. Source: Alexandria, functional PBE. Values from VASP.

Properties
The calculation puts the magnetic moment at 1.02 μB/f.u. Its space group is Imm2. The final energy comes out at -4.938 eV/atom. The value obtained for the excess energy over the best structure of this formula in the dataset is 0.33 eV/f.u.

Geometry as Quantum ESPRESSO input:
```
&SYSTEM
  ibrav = 0, nat = 8, ntyp = 3
/
ATOMIC_SPECIES
S 32.06 S.upf
Rb 85.47 Rb.upf
W 183.84 W.upf
ATOMIC_POSITIONS angstrom
S 0.167 -0.281 3.462
Rb -0.036 0.089 0.049
W 0.930 -2.095 4.568
Rb -2.999 -2.068 2.669
S 0.864 -1.853 6.811
S -2.555 1.519 1.244
S -0.288 -3.874 3.986
Rb -1.034 2.669 4.196
CELL_PARAMETERS angstrom
-5.586 4.030 -2.692
-1.067 -6.764 2.792
2.958 2.496 6.301
```